[1]
{"formula": "BaMg4Zn2Cd", "functional": "GGA-PBE", "state": "relaxed", "delta_e_f_mev_per_atom": -71.4, "vol_a3_per_cell": 203.52, "magmom_total_mub_per_atom": 0.00, "lattice_angstrom": [[4.7543, 0.0000, 0.0000], [2.3772, 4.1174, 0.0000], [2.3772, 1.3725, 10.3969]], "species": ["Zn", "Zn", "Cd", "Mg", "Mg", "Mg", "Ba", "Mg"], "frac_coords": [[0.2485, 0.2485, 0.2544], [0.7515, 0.7515, 0.7456], [0.5000, 0.5000, 0.5000], [0.5911, 0.5911, 0.2266], [0.8705, 0.8705, 0.3884], [0.4089, 0.4089, 0.7734], [0.0000, 0.0000, 0.0000], [0.1295, 0.1295, 0.6116]]}

***

[2]
{"formula": "Ba2Mg6ZnCd", "functional": "GGA-PBE", "state": "relaxed", "delta_e_f_mev_per_atom": 8.5, "vol_a3_per_cell": 304.87, "magmom_total_mub_per_atom": 0.00, "lattice_angstrom": [[-1.5865, -7.3822, -0.1507], [7.3316, -1.5997, 0.8508], [2.2657, -4.4750, 5.6607]], "species": ["Zn", "Mg", "Cd", "Mg", "Mg", "Mg", "Mg", "Ba", "Ba", "Mg"], "frac_coords": [[0.5000, 0.5000, 0.0000], [0.2574, 0.2572, 0.9994], [0.0000, 0.0000, 0.0000], [0.2573, 0.2574, 0.4859], [0.7427, 0.7426, 0.5141], [0.7429, 0.2569, 0.0000], [0.7426, 0.7428, 0.0006], [0.2496, 0.7503, 0.5002], [0.7504, 0.2497, 0.4998], [0.2571, 0.7431, 0.0000]]}

***

[3]
{"formula": "BaMgZnCd2", "functional": "GGA-PBE", "state": "relaxed", "delta_e_f_mev_per_atom": -65.2, "vol_a3_per_cell": 144.84, "magmom_total_mub_per_atom": 0.00, "polymorph_energy_ev_per_fu": 0.797, "lattice_angstrom": [[5.2736, 0.0000, 0.0000], [0.0000, 5.2736, 0.0000], [0.0000, 0.0000, 5.2080]], "species": ["Cd", "Ba", "Zn", "Mg", "Cd"], "frac_coords": [[0.5000, 0.0000, 0.0000], [0.5000, 0.5000, 0.5000], [0.0000, 0.0000, 0.0000], [0.0000, 0.0000, 0.5000], [0.0000, 0.5000, 0.0000]]}

***

[4]
{"formula": "Ba2MgZn3Cd12", "functional": "GGA-PBE", "state": "relaxed", "delta_e_f_mev_per_atom": 121.8, "vol_a3_per_cell": 559.30, "magmom_total_mub_per_atom": 0.00, "lattice_angstrom": [[-3.8222, -4.7091, 6.7334], [-0.9329, -8.9330, -1.2068], [5.4074, -5.4186, 4.8501]], "species": ["Ba", "Cd", "Zn", "Cd", "Cd", "Cd", "Mg", "Cd", "Zn", "Zn", "Cd", "Cd", "Cd", "Cd", "Cd", "Cd", "Cd", "Ba"], "frac_coords": [[0.4002, 0.4002, 0.4002], [0.8718, 0.3644, 0.8718], [0.5000, 0.0000, 0.0000], [0.0165, 0.6628, 0.6628], [0.1282, 0.1282, 0.6356], [0.3372, 0.3372, 0.9835], [0.0000, 0.0000, 0.0000], [0.9835, 0.3372, 0.3372], [0.0000, 0.0000, 0.5000], [0.0000, 0.5000, 0.0000], [0.6628, 0.6628, 0.0165], [0.1282, 0.6356, 0.1282], [0.3644, 0.8718, 0.8718], [0.6628, 0.0165, 0.6628], [0.6356, 0.1282, 0.1282], [0.8718, 0.8718, 0.3644], [0.3372, 0.9835, 0.3372], [0.5998, 0.5998, 0.5998]]}

***

[5]
{"formula": "BaMgZnCd3", "functional": "GGA-PBE", "state": "relaxed", "delta_e_f_mev_per_atom": -79.8, "vol_a3_per_cell": 333.55, "magmom_total_mub_per_atom": 0.00, "lattice_angstrom": [[6.6216, 0.0000, 0.0000], [0.0000, 7.3107, 0.0000], [0.0000, -3.6553, 6.8903]], "species": ["Mg", "Zn", "Cd", "Ba", "Cd", "Cd", "Ba", "Zn", "Mg", "Cd", "Cd", "Cd"], "frac_coords": [[0.2500, 0.9578, 0.9156], [0.7500, 0.6343, 0.2687], [0.0000, 0.3021, 0.0000], [0.7500, 0.2857, 0.5715], [0.0000, 0.6979, 0.0000], [0.2500, 0.1621, 0.3243], [0.2500, 0.7143, 0.4285], [0.2500, 0.3657, 0.7313], [0.7500, 0.0422, 0.0844], [0.5000, 0.3021, 0.0000], [0.5000, 0.6979, 0.0000], [0.7500, 0.8379, 0.6757]]}

***

[6]
{"formula": "Ba2MnCd", "functional": "GGA-PBE", "state": "relaxed", "delta_e_f_mev_per_atom": 298.9, "vol_a3_per_cell": 130.02, "magmom_total_mub_per_atom": 1.18, "lattice_angstrom": [[5.5912, -1.0262, 0.0000], [1.0158, 5.5931, 0.0000], [-3.3035, -2.2835, 4.0234]], "species": ["Ba", "Mn", "Cd", "Ba"], "frac_coords": [[0.0000, 0.0000, 0.0000], [0.7500, 0.2500, 0.5000], [0.5000, 0.5000, 0.0000], [0.2500, 0.7500, 0.5000]]}